Entry 1:
Compound: Na2In2Mo
Source: Alexandria via LeMat-Bulk
Functional: PBE
Structure: relaxed

## Properties
Formation enthalpy at 0 K   0.88 eV/atom
Raw total energy   -2.913 eV per atom
Excess energy over the best structure of this formula in the dataset   180 meV per atom
Density of states at the Fermi level   2.86 states/eV per cell
Space-group type   No. 139

Unit cell a=5.3791 b=5.3791 c=5.6728 alpha=61.70 beta=61.70 gamma=90.00
Last column: nearest neighbours and their distance in Å.
Positions (direct):
In (0.2500, 0.7500, 0.5000)  4 Na 2.85
Na (0.6384, 0.6384, 0.7232)  1 Na 2.33
Mo (0.0000, 0.0000, 0.0000)  2 Na 3.04
Na (0.3616, 0.3616, 0.2768)  1 Na 2.33
In (0.7500, 0.2500, 0.5000)  4 Na 2.85


Entry 2:
Compound: BaY2Cu
Source: Alexandria via LeMat-Bulk
Functional: PBE
Structure: relaxed

## Properties
Formation enthalpy at 0 K   0.40 eV/atom
Raw total energy   -4.338 eV per atom
Excess energy over the best structure of this formula in the dataset   361 meV per atom
Density of states at the Fermi level   5.58 states/eV per cell
Space-group type   No. 139

Unit cell a=6.6965 b=6.6965 c=6.6965 alpha=139.21 beta=139.21 gamma=59.05
Last column: nearest neighbours and their distance in Å.
Positions (direct):
Ba (0.2500, 0.7500, 0.5000)  4 Cu 3.30
Y (0.0000, 0.0000, 0.0000)  4 Y 3.30
Y (0.5000, 0.5000, 0.0000)  4 Y 3.30
Cu (0.7500, 0.2500, 0.5000)  4 Ba 3.30